A geometry-optimized Te2PbCI structure. Source: Alexandria via LeMat-Bulk, functional PBE.

abc: 6.0700 6.0700 6.1407
angles: 90.00 90.00 90.00
Site moments in Bohr magnetons follow the coordinates.
Element x y z (fractional)
C: 0.5000 0.5000 0.5000  0.94
Te: 0.5000 0.0000 0.0000  -0.57
Te: 0.0000 0.5000 0.0000  -0.57
Pb: 0.0000 0.0000 0.0000  0.00
I: 0.0000 0.0000 0.5000  -0.12

Summary:
ΔE to the lowest computed polymorph: 4.86 eV per formula unit
Volume: 226.3 Å³/cell
Uncorrected formation energy: 1.790 eV per atom
Calculated total energy: -11.81 eV/cell


A geometry-optimized VPbCI2 structure. Source: Alexandria via LeMat-Bulk, functional PBE.

abc: 5.7843 3.8335 5.7843
angles: 90.00 90.00 90.00
Site moments in Bohr magnetons follow the coordinates.
Element x y z (fractional)
I: 0.0000 0.0000 0.5000  -0.02
I: 0.5000 0.0000 0.0000  -0.01
C: 0.0000 0.5000 0.0000  -0.12
V: 0.0000 0.0000 0.0000  1.16
Pb: 0.5000 0.5000 0.5000  0.02

Summary:
Volume: 128.3 Å³/cell
Uncorrected formation energy: 0.561 eV per atom
Calculated total energy: -22.35 eV/cell


A geometry-optimized V2PbCI structure. Source: Alexandria via LeMat-Bulk, functional PBE.

abc: 5.1234 5.9109 5.1234
angles: 90.00 90.00 90.00
Site moments in Bohr magnetons follow the coordinates.
Element x y z (fractional)
I: 0.0000 0.0000 0.0000  0.00
V: 0.5000 0.0000 0.0000  3.08
V: 0.0000 0.0000 0.5000  3.08
C: 0.5000 0.5000 0.5000  -0.78
Pb: 0.0000 0.5000 0.0000  0.02

Summary:
Volume: 155.2 Å³/cell
Uncorrected formation energy: 2.539 eV per atom
Calculated total energy: -20.03 eV/cell


A geometry-optimized PdCI3 structure. Source: Alexandria via LeMat-Bulk, functional PBE.

abc: 5.0271 5.0271 5.0271
angles: 90.00 90.00 90.00
Site moments in Bohr magnetons follow the coordinates.
Element x y z (fractional)
C: 0.0000 0.0000 0.0000  -0.02
I: 0.0000 0.5000 0.0000  0.07
I: 0.5000 0.0000 0.0000  0.04
I: 0.0000 0.0000 0.5000  0.05
Pd: 0.5000 0.5000 0.5000  0.30

Summary:
ΔE to the lowest computed polymorph: 0.00 eV per formula unit
Volume: 127.0 Å³/cell
Uncorrected formation energy: 1.359 eV per atom
Calculated total energy: -12.27 eV/cell


A geometry-optimized Pd3CI structure. Source: Alexandria via LeMat-Bulk, functional PBE.

abc: 4.3256 4.3256 4.3256
angles: 90.00 90.00 90.00
Element x y z (fractional)
Pd: 0.0000 0.0000 0.5000
Pd: 0.5000 0.0000 0.0000
Pd: 0.0000 0.5000 0.0000
C: 0.0000 0.0000 0.0000
I: 0.5000 0.5000 0.5000

Summary:
ΔE to the lowest computed polymorph: 0.00 eV per formula unit
Volume: 80.9 Å³/cell
Uncorrected formation energy: 0.450 eV per atom
Calculated total energy: -24.10 eV/cell


A geometry-optimized PdCI2 structure. Source: Alexandria via LeMat-Bulk, functional PBE.

abc: 5.8217 5.8217 7.4408
angles: 66.97 66.97 90.00
Element x y z (fractional)
C: 0.5000 0.5000 0.0000
C: 0.2500 0.7500 0.5000
I: 0.5868 0.1250 0.2500
I: 0.1632 0.6250 0.2500
I: 0.8750 0.8368 0.7500
I: 0.3750 0.4132 0.7500
Pd: 0.0000 0.0000 0.0000
Pd: 0.7500 0.2500 0.5000

Summary:
ΔE to the lowest computed polymorph: 0.00 eV per formula unit
Volume: 210.1 Å³/cell
Uncorrected formation energy: 1.261 eV per atom
Calculated total energy: -24.95 eV/cell


A geometry-optimized Pd2CI2 structure. Source: Alexandria via LeMat-Bulk, functional PBE.

abc: 6.0153 6.0153 5.8326
angles: 90.00 90.00 90.00
Element x y z (fractional)
C: 0.5000 0.5000 0.0000
C: 0.0000 0.0000 0.0000
I: 0.8067 0.3067 0.5000
I: 0.1933 0.6933 0.5000
I: 0.6933 0.8067 0.5000
I: 0.3067 0.1933 0.5000
Pd: 0.7712 0.2712 0.0000
Pd: 0.7288 0.7712 0.0000
Pd: 0.2288 0.7288 0.0000
Pd: 0.2712 0.2288 0.0000

Summary:
ΔE to the lowest computed polymorph: 1.14 eV per formula unit
Volume: 211.0 Å³/cell
Uncorrected formation energy: 0.817 eV per atom
Calculated total energy: -37.25 eV/cell


A geometry-optimized Pd3CI structure. Source: Alexandria via LeMat-Bulk, functional PBE.

abc: 5.0095 5.0095 5.0095
angles: 90.00 90.00 90.00
Site moments in Bohr magnetons follow the coordinates.
Element x y z (fractional)
Pd: 0.0000 0.0000 0.5000  -0.06
Pd: 0.5000 0.0000 0.0000  -0.16
Pd: 0.0000 0.5000 0.0000  -0.12
C: 0.5000 0.5000 0.5000  0.77
I: 0.0000 0.0000 0.0000  -0.02

Summary:
ΔE to the lowest computed polymorph: 7.43 eV per formula unit
Volume: 125.7 Å³/cell
Uncorrected formation energy: 1.937 eV per atom
Calculated total energy: -16.67 eV/cell


A geometry-optimized PdC3I structure. Source: Alexandria via LeMat-Bulk, functional PBE.

abc: 4.1286 4.1286 4.1286
angles: 90.00 90.00 90.00
Element x y z (fractional)
C: 0.0000 0.0000 0.5000
C: 0.5000 0.0000 0.0000
C: 0.0000 0.5000 0.0000
I: 0.0000 0.0000 0.0000
Pd: 0.5000 0.5000 0.5000

Summary:
ΔE to the lowest computed polymorph: 3.48 eV per formula unit
Volume: 70.4 Å³/cell
Uncorrected formation energy: 3.438 eV per atom
Calculated total energy: -17.23 eV/cell


A geometry-optimized PdC2I structure. Source: Alexandria via LeMat-Bulk, functional PBE.

abc: 5.6040 5.6040 5.9331
angles: 61.82 61.82 90.00
Element x y z (fractional)
I: 0.0000 0.0000 0.0000
I: 0.7500 0.2500 0.5000
C: 0.2052 0.6250 0.2500
C: 0.5448 0.1250 0.2500
C: 0.8750 0.7948 0.7500
C: 0.3750 0.4552 0.7500
Pd: 0.2500 0.7500 0.5000
Pd: 0.5000 0.5000 0.0000

Summary:
ΔE to the lowest computed polymorph: 0.00 eV per formula unit
Volume: 138.7 Å³/cell
Uncorrected formation energy: 1.928 eV per atom
Calculated total energy: -34.96 eV/cell


A geometry-optimized PdCI2 structure. Source: Alexandria via LeMat-Bulk, functional PBE.

abc: 4.9098 4.9098 4.9098
angles: 60.00 60.00 60.00
Element x y z (fractional)
Pd: 0.5000 0.5000 0.5000
C: 0.0000 0.0000 0.0000
I: 0.7500 0.7500 0.7500
I: 0.2500 0.2500 0.2500

Summary:
ΔE to the lowest computed polymorph: 1.97 eV per formula unit
Volume: 83.7 Å³/cell
Uncorrected formation energy: 1.754 eV per atom
Calculated total energy: -10.50 eV/cell


A geometry-optimized PdCI3 structure. Source: Alexandria via LeMat-Bulk, functional PBE.

abc: 5.4759 5.4759 5.4759
angles: 90.00 90.00 90.00
Site moments in Bohr magnetons follow the coordinates.
Element x y z (fractional)
C: 0.5000 0.5000 0.5000  0.87
I: 0.5000 0.0000 0.0000  -0.18
I: 0.0000 0.5000 0.0000  -0.11
I: 0.0000 0.0000 0.5000  -0.08
Pd: 0.0000 0.0000 0.0000  -0.03

Summary:
ΔE to the lowest computed polymorph: 0.65 eV per formula unit
Volume: 164.2 Å³/cell
Uncorrected formation energy: 1.488 eV per atom
Calculated total energy: -11.63 eV/cell


A geometry-optimized PdC2I structure. Source: Alexandria via LeMat-Bulk, functional PBE.

abc: 4.2410 4.2410 4.2410
angles: 60.00 60.00 60.00
Element x y z (fractional)
C: 0.7500 0.7500 0.7500
C: 0.2500 0.2500 0.2500
Pd: 0.0000 0.0000 0.0000
I: 0.5000 0.5000 0.5000

Summary:
ΔE to the lowest computed polymorph: 2.80 eV per formula unit
Volume: 53.9 Å³/cell
Uncorrected formation energy: 2.628 eV per atom
Calculated total energy: -14.68 eV/cell


A geometry-optimized Pd2CI2 structure. Source: Alexandria via LeMat-Bulk, functional PBE.

abc: 5.6346 5.6346 6.8495
angles: 65.71 65.71 90.00
Element x y z (fractional)
I: 0.2500 0.7500 0.5000
I: 0.7500 0.2500 0.5000
Pd: 0.1592 0.1592 0.6817
Pd: 0.8408 0.8408 0.3183
C: 0.0000 0.0000 0.0000

Summary:
ΔE to the lowest computed polymorph: 0.00 eV per formula unit
Volume: 176.9 Å³/cell
Uncorrected formation energy: 0.589 eV per atom
Calculated total energy: -19.76 eV/cell


A geometry-optimized PdC3I structure. Source: Alexandria via LeMat-Bulk, functional PBE.

abc: 4.1721 4.1721 4.1721
angles: 90.00 90.00 90.00
Site moments in Bohr magnetons follow the coordinates.
Element x y z (fractional)
Pd: 0.0000 0.0000 0.0000  0.16
C: 0.0000 0.5000 0.0000  0.51
C: 0.5000 0.0000 0.0000  0.36
C: 0.0000 0.0000 0.5000  0.41
I: 0.5000 0.5000 0.5000  -0.12

Summary:
ΔE to the lowest computed polymorph: 0.00 eV per formula unit
Volume: 72.6 Å³/cell
Uncorrected formation energy: 2.741 eV per atom
Calculated total energy: -20.71 eV/cell


A geometry-optimized Pr6Pd2CI3 structure. Source: Alexandria via LeMat-Bulk, functional PBE.

abc: 7.2552 7.2552 8.3147
angles: 98.28 98.28 119.89
Element x y z (fractional)
C: 0.0000 0.0000 0.0000
I: 0.5000 0.5000 0.5000
I: 0.1693 0.8307 0.5000
I: 0.8307 0.1693 0.5000
Pr: 0.2371 0.2371 0.8136
Pr: 0.9388 0.6399 0.8154
Pr: 0.0612 0.3601 0.1846
Pr: 0.6399 0.9388 0.8154
Pr: 0.7629 0.7629 0.1864
Pr: 0.3601 0.0612 0.1846
Pd: 0.3339 0.6661 0.0000
Pd: 0.6661 0.3339 0.0000

Summary:
Volume: 363.4 Å³/cell
Uncorrected formation energy: -0.764 eV per atom
Calculated total energy: -62.11 eV/cell


A geometry-optimized Pr8Pd3CI4 structure. Source: Alexandria via LeMat-Bulk, functional PBE.

abc: 8.4448 9.4275 8.4526
angles: 116.72 119.97 90.00
Site moments in Bohr magnetons follow the coordinates.
Element x y z (fractional)
C: 0.0000 0.5000 0.0000  -0.03
Pd: 0.5000 0.5000 0.0000  0.02
Pd: 0.0000 0.5000 0.5000  0.02
Pd: 0.5000 0.5000 0.5000  0.02
I: 0.5000 0.0000 0.0000  0.01
I: 0.0000 0.0000 0.0000  0.00
I: 0.5000 0.0000 0.5000  0.00
I: 0.0000 0.0000 0.5000  0.00
Pr: 0.7601 0.6829 0.9718  0.09
Pr: 0.2399 0.3171 0.0282  0.09
Pr: 0.7883 0.3171 0.0282  0.09
Pr: 0.2119 0.6829 0.4238  0.09
Pr: 0.2696 0.3092 0.5392  0.01
Pr: 0.7304 0.6908 0.4608  0.01
Pr: 0.7881 0.3171 0.5762  0.09
Pr: 0.2117 0.6829 0.9718  0.09

Summary:
Volume: 498.3 Å³/cell
Uncorrected formation energy: -0.764 eV per atom
Calculated total energy: -81.47 eV/cell


A geometry-optimized Rb2PdCI6 structure. Source: Alexandria via LeMat-Bulk, functional PBE.

abc: 7.8067 7.8067 7.8125
angles: 60.02 60.02 90.00
Element x y z (fractional)
Rb: 0.2500 0.7500 0.5000
Rb: 0.7500 0.2500 0.5000
I: 0.7450 0.2550 0.0000
I: 0.7448 0.7448 0.5104
I: 0.7450 0.7450 0.0000
I: 0.2552 0.2552 0.4896
I: 0.2550 0.2550 0.0000
I: 0.2550 0.7450 0.0000
C: 0.5000 0.5000 0.0000
Pd: 0.0000 0.0000 0.0000

Summary:
Volume: 336.9 Å³/cell
Uncorrected formation energy: -0.139 eV per atom
Calculated total energy: -27.04 eV/cell


A geometry-optimized RePdCI2 structure. Source: Alexandria via LeMat-Bulk, functional PBE.

abc: 5.0183 3.8878 5.0183
angles: 90.00 90.00 90.00
Element x y z (fractional)
I: 0.0000 0.0000 0.5000
I: 0.5000 0.0000 0.0000
Pd: 0.0000 0.5000 0.0000
Re: 0.5000 0.5000 0.5000
C: 0.0000 0.0000 0.0000

Summary:
Volume: 97.9 Å³/cell
Uncorrected formation energy: 1.949 eV per atom
Calculated total energy: -20.22 eV/cell


A geometry-optimized PdC2SI structure. Source: Alexandria via LeMat-Bulk, functional PBE.

abc: 3.8843 8.8819 3.8843
angles: 90.00 90.00 90.00
Site moments in Bohr magnetons follow the coordinates.
Element x y z (fractional)
S: 0.0000 0.5000 0.0000  0.01
Pd: 0.0000 0.0000 0.0000  0.03
I: 0.5000 0.5000 0.5000  0.01
C: 0.0000 0.0000 0.5000  0.24
C: 0.5000 0.0000 0.0000  0.07

Summary:
Volume: 134.0 Å³/cell
Uncorrected formation energy: 1.869 eV per atom
Calculated total energy: -19.97 eV/cell


A geometry-optimized Ta2PdCI structure. Source: Alexandria via LeMat-Bulk, functional PBE.

abc: 5.0391 4.7713 5.0391
angles: 90.00 90.00 90.00
Element x y z (fractional)
Ta: 0.0000 0.0000 0.5000
Ta: 0.5000 0.0000 0.0000
Pd: 0.0000 0.5000 0.0000
C: 0.5000 0.5000 0.5000
I: 0.0000 0.0000 0.0000

Summary:
Volume: 121.2 Å³/cell
Uncorrected formation energy: 3.040 eV per atom
Calculated total energy: -24.47 eV/cell


A geometry-optimized Zn2PdCI structure. Source: Alexandria via LeMat-Bulk, functional PBE.

abc: 5.6234 5.0497 5.6234
angles: 90.00 90.00 90.00
Site moments in Bohr magnetons follow the coordinates.
Element x y z (fractional)
Pd: 0.0000 0.5000 0.0000  0.04
C: 0.5000 0.5000 0.5000  1.02
I: 0.0000 0.0000 0.0000  0.03
Zn: 0.0000 0.0000 0.5000  -0.01
Zn: 0.5000 0.0000 0.0000  -0.01

Summary:
Volume: 159.7 Å³/cell
Uncorrected formation energy: 1.978 eV per atom
Calculated total energy: -8.62 eV/cell


A geometry-optimized Pm4C2I5 structure. Source: Alexandria via LeMat-Bulk, functional PBE.

abc: 4.0256 8.7837 10.2701
angles: 102.71 101.30 90.00
Element x y z (fractional)
C: 0.4644 0.4821 0.9287
C: 0.5356 0.5179 0.0713
Pm: 0.9999 0.6893 0.9999
Pm: 0.0001 0.3107 0.0001
Pm: 0.3494 0.4202 0.6989
Pm: 0.6506 0.5798 0.3011
I: 0.1673 0.3127 0.3346
I: 0.1610 0.8559 0.3219
I: 0.8390 0.1441 0.6781
I: 0.8327 0.6873 0.6654
I: 0.5000 0.0000 0.0000

Summary:
Volume: 347.0 Å³/cell
Uncorrected formation energy: -1.082 eV per atom
Calculated total energy: -57.10 eV/cell


A geometry-optimized PmCI structure. Source: Alexandria via LeMat-Bulk, functional PBE.

abc: 4.0385 4.2654 11.4099
angles: 92.48 89.90 118.25
Element x y z (fractional)
I: 0.8176 0.6384 0.3138
I: 0.1824 0.3616 0.6862
C: 0.5762 0.1521 0.9732
C: 0.4238 0.8479 0.0268
Pm: 0.8574 0.7135 0.8744
Pm: 0.1426 0.2865 0.1256

Summary:
ΔE to the lowest computed polymorph: 0.00 eV per formula unit
Volume: 172.9 Å³/cell
Uncorrected formation energy: -0.853 eV per atom
Calculated total energy: -36.17 eV/cell


A geometry-optimized Pm3CI2 structure. Source: Alexandria via LeMat-Bulk, functional PBE.

abc: 6.8373 7.4516 7.4516
angles: 112.84 100.80 100.80
Element x y z (fractional)
C: 0.7500 0.4195 0.5805
C: 0.2500 0.5805 0.4195
Pm: 0.5000 0.0000 0.5000
Pm: 0.9975 0.2638 0.3992
Pm: 0.4975 0.3992 0.2638
Pm: 0.5025 0.6008 0.7362
Pm: 0.0025 0.7362 0.6008
Pm: 0.0000 0.5000 0.0000
I: 0.7500 0.0711 0.9289
I: 0.7500 0.7738 0.2262
I: 0.2500 0.2262 0.7738
I: 0.2500 0.9289 0.0711

Summary:
Volume: 329.2 Å³/cell
Uncorrected formation energy: -0.563 eV per atom
Calculated total energy: -59.91 eV/cell